(one)
Below is crystalline LaBeAg at its relaxed geometry, with properties calculated at the PBE level.

a b c (Å): 6.755 6.755 6.755
angles (deg): 90.00 90.00 90.00
Space group F-43m (No. 216)
Inequivalent atoms, fractional coordinates:
La1 0.000 0.000 0.000 (multiplicity 4)
Be1 0.000 0.000 0.500 (multiplicity 4)
Ag1 0.250 0.250 0.250 (multiplicity 4)

Crystal system: cubic

=====

(two)
Below is crystalline LaBeAg at its relaxed geometry, with properties calculated at the PBE level.

a b c (Å): 4.4425 4.4425 3.9227
angles (deg): 90.00 90.00 120.00
Space group P-6m2 (No. 187)
Inequivalent atoms, fractional coordinates:
La1 0.0000 0.0000 0.0000 (multiplicity 1)
Be1 0.3333 0.6667 0.5000 (multiplicity 1)
Ag1 0.6667 0.3333 0.5000 (multiplicity 1)

Crystal system: hexagonal

=====

(three)
Below is crystalline LaBeAg at its relaxed geometry, with properties calculated at the PBE level.

a b c (Å): 3.251 3.251 11.486
angles (deg): 90.00 90.00 90.00
Space group I4mm (No. 107)
Inequivalent atoms, fractional coordinates:
La1 0.000 0.000 0.000 (multiplicity 2)
Be1 0.000 0.000 0.697 (multiplicity 2)
Ag1 0.000 0.000 0.285 (multiplicity 2)

Crystal system: tetragonal

=====

Which structure is most stable? (two), by 0.126 eV/atom over the runner-up.

=====

(one)
Below is crystalline LaBe2Ag at its relaxed geometry, with properties calculated at the PBE level.

a b c (Å): 2.989 2.989 7.493
angles (deg): 90.00 90.00 90.00
Space group P4mm (No. 99)
Inequivalent atoms, fractional coordinates:
La1 0.000 0.000 0.000 (multiplicity 1)
Be1 0.000 0.000 0.557 (multiplicity 1)
Be2 0.500 0.500 0.696 (multiplicity 1)
Ag1 0.500 0.500 0.359 (multiplicity 1)

Crystal system: tetragonal

=====

(two)
Below is crystalline LaBe2Ag at its relaxed geometry, with properties calculated at the PBE level.

a b c (Å): 7.055 4.071 5.723
angles (deg): 90.00 114.15 90.00
Space group C2/m (No. 12)
Inequivalent atoms, fractional coordinates:
La1 0.000 0.000 0.000 (multiplicity 2)
Be1 0.193 0.000 0.577 (multiplicity 4)
Ag1 0.000 0.500 0.500 (multiplicity 2)

Crystal system: monoclinic

=====

(three)
Below is crystalline LaBe2Ag at its relaxed geometry, with properties calculated at the PBE level.

a b c (Å): 4.488 4.488 16.536
angles (deg): 90.00 90.00 90.00
Space group I4_1/amd (No. 141, origin choice 2)
Inequivalent atoms, fractional coordinates:
La1 0.000 0.250 0.375 (multiplicity 4)
Be1 0.000 0.000 0.000 (multiplicity 8)
Ag1 0.000 0.250 0.875 (multiplicity 4)

Crystal system: tetragonal

=====

(four)
Below is crystalline LaBe2Ag at its relaxed geometry, with properties calculated at the PBE level.

a b c (Å): 3.357 4.577 5.049
angles (deg): 90.00 90.00 90.00
Space group Pmmm (No. 47)
Inequivalent atoms, fractional coordinates:
La1 0.000 0.000 0.000 (multiplicity 1)
Be1 0.000 0.500 0.500 (multiplicity 1)
Be2 0.500 0.500 0.000 (multiplicity 1)
Ag1 0.500 0.000 0.500 (multiplicity 1)

Crystal system: orthorhombic

=====

Which structure is most stable? (two), by 0.194 eV/atom over the runner-up.

=====

(one)
Below is crystalline LaBe2Ag at its relaxed geometry, with properties calculated at the PBE level.

a b c (Å): 4.122 5.357 7.117
angles (deg): 90.00 90.00 90.00
Space group Imm2 (No. 44)
Inequivalent atoms, fractional coordinates:
La1 0.000 0.000 0.000 (multiplicity 2)
Be1 0.000 0.000 0.571 (multiplicity 2)
Be2 0.000 0.500 0.172 (multiplicity 2)
Ag1 0.000 0.500 0.818 (multiplicity 2)

Crystal system: orthorhombic

=====

(two)
Below is crystalline LaBe2Ag at its relaxed geometry, with properties calculated at the PBE level.

a b c (Å): 4.311 4.311 4.399
angles (deg): 90.00 90.00 90.00
Space group P4/mmm (No. 123)
Inequivalent atoms, fractional coordinates:
La1 0.000 0.000 0.000 (multiplicity 1)
Be1 0.000 0.500 0.500 (multiplicity 2)
Ag1 0.500 0.500 0.000 (multiplicity 1)

Crystal system: tetragonal

=====

Which structure is most stable? (one), by 0.357 eV/atom over the runner-up.

=====

(one)
Below is crystalline LaBe2Ag at its relaxed geometry, with properties calculated at the PBE level.

a b c (Å): 6.606 6.606 6.606
angles (deg): 90.00 90.00 90.00
Space group Fm-3m (No. 225)
Inequivalent atoms, fractional coordinates:
La1 0.000 0.000 0.000 (multiplicity 4)
Be1 0.250 0.250 0.250 (multiplicity 8)
Ag1 0.000 0.000 0.500 (multiplicity 4)

Crystal system: cubic

=====

(two)
Below is crystalline LaBe2Ag at its relaxed geometry, with properties calculated at the PBE level.

a b c (Å): 4.346 5.336 6.561
angles (deg): 90.00 90.00 90.00
Space group Immm (No. 71)
Inequivalent atoms, fractional coordinates:
La1 0.000 0.000 0.000 (multiplicity 2)
Be1 0.000 0.500 0.175 (multiplicity 4)
Ag1 0.000 0.000 0.500 (multiplicity 2)

Crystal system: orthorhombic

=====

Which structure is most stable? (two), by 0.021 eV/atom over the runner-up.